[1]
Entry from Alexandria: Tb7Ho6 after structural relaxation (PBE-GGA).

Cell lengths 12.155, 12.155, 12.155 Å; angles 31.04, 31.04, 31.04 degrees
Fractional coordinates of all 13 atoms:
1 Tb 0.000 0.000 0.000
2 Tb 0.092 0.092 0.582
3 Tb 0.092 0.582 0.092
4 Tb 0.418 0.908 0.908
5 Tb 0.582 0.092 0.092
6 Tb 0.908 0.418 0.908
7 Tb 0.908 0.908 0.418
8 Ho 0.167 0.167 0.167
9 Ho 0.353 0.353 0.353
10 Ho 0.454 0.454 0.454
11 Ho 0.546 0.546 0.546
12 Ho 0.647 0.647 0.647
13 Ho 0.833 0.833 0.833

***

[2]
Entry from Alexandria: Tb2Ho5 after structural relaxation (PBE-GGA).

Cell lengths 3.520, 7.894, 8.639 Å; angles 111.44, 90.06, 102.85 degrees
Fractional coordinates of all 7 atoms:
1 Tb 0.214 0.428 0.143
2 Tb 0.786 0.572 0.857
3 Ho 0.071 0.142 0.714
4 Ho 0.357 0.715 0.571
5 Ho 0.500 0.000 0.000
6 Ho 0.643 0.285 0.429
7 Ho 0.929 0.858 0.286

Calculated values
The excess energy over the best structure of this formula in the dataset comes out at 14 meV/atom.

***

[3]
Entry from Alexandria: Tb5Ho2 after structural relaxation (PBE-GGA).

Cell lengths 8.429, 8.429, 9.177 Å; angles 95.45, 95.45, 43.61 degrees
Fractional coordinates of all 14 atoms:
1 Tb 0.024 0.691 0.036
2 Tb 0.119 0.452 0.679
3 Tb 0.167 0.833 0.750
4 Tb 0.309 0.976 0.464
5 Tb 0.452 0.119 0.179
6 Tb 0.548 0.881 0.821
7 Tb 0.691 0.024 0.536
8 Tb 0.833 0.167 0.250
9 Tb 0.881 0.548 0.321
10 Tb 0.976 0.309 0.964
11 Ho 0.263 0.595 0.393
12 Ho 0.405 0.737 0.107
13 Ho 0.595 0.263 0.893
14 Ho 0.737 0.405 0.607

Calculated values
The excess energy over the best structure of this formula in the dataset comes out at 0 meV/atom.

***

[4]
Entry from Alexandria: Tb7Ho3 after structural relaxation (PBE-GGA).

Cell lengths 10.846, 10.846, 6.274 Å; angles 90.00, 90.00, 120.00 degrees
Fractional coordinates of all 20 atoms:
1 Tb 0.058 0.529 0.000
2 Tb 0.118 0.236 0.853
3 Tb 0.118 0.882 0.853
4 Tb 0.236 0.118 0.353
5 Tb 0.333 0.667 0.740
6 Tb 0.471 0.529 0.000
7 Tb 0.471 0.942 0.000
8 Tb 0.529 0.058 0.500
9 Tb 0.529 0.471 0.500
10 Tb 0.667 0.333 0.240
11 Tb 0.764 0.882 0.853
12 Tb 0.882 0.118 0.353
13 Tb 0.882 0.764 0.353
14 Tb 0.942 0.471 0.500
15 Ho 0.213 0.426 0.366
16 Ho 0.213 0.787 0.366
17 Ho 0.426 0.213 0.866
18 Ho 0.574 0.787 0.366
19 Ho 0.787 0.213 0.866
20 Ho 0.787 0.574 0.866

Calculated values
The excess energy over the best structure of this formula in the dataset comes out at 183 meV/atom.

***

[5]
Entry from Alexandria: Tb5Ho after structural relaxation (PBE-GGA).

Cell lengths 5.013, 15.061, 5.015 Å; angles 90.00, 90.00, 90.00 degrees
Fractional coordinates of all 12 atoms:
1 Tb 0.000 0.000 0.000
2 Tb 0.000 0.166 0.500
3 Tb 0.000 0.333 0.000
4 Tb 0.000 0.667 0.000
5 Tb 0.000 0.834 0.500
6 Tb 0.500 0.167 0.000
7 Tb 0.500 0.334 0.500
8 Tb 0.500 0.500 0.000
9 Tb 0.500 0.666 0.500
10 Tb 0.500 0.833 0.000
11 Ho 0.000 0.500 0.500
12 Ho 0.500 0.000 0.500

***

[6]
Entry from Alexandria: Tb2Ho after structural relaxation (PBE-GGA).

Cell lengths 5.881, 5.890, 10.954 Å; angles 90.00, 90.00, 90.00 degrees
Fractional coordinates of all 12 atoms:
1 Tb 0.000 0.000 0.165
2 Tb 0.000 0.000 0.835
3 Tb 0.000 0.500 0.335
4 Tb 0.000 0.500 0.665
5 Tb 0.500 0.000 0.335
6 Tb 0.500 0.000 0.665
7 Tb 0.500 0.500 0.165
8 Tb 0.500 0.500 0.835
9 Ho 0.000 0.000 0.500
10 Ho 0.000 0.500 0.000
11 Ho 0.500 0.000 0.000
12 Ho 0.500 0.500 0.500

Calculated values
The excess energy over the best structure of this formula in the dataset comes out at 109 meV/atom.

***

[7]
Entry from Alexandria: Tb8Ho after structural relaxation (PBE-GGA).

Cell lengths 7.939, 7.939, 7.939 Å; angles 95.72, 95.72, 143.19 degrees
Fractional coordinates of all 9 atoms:
1 Tb 0.000 0.333 0.333
2 Tb 0.000 0.667 0.667
3 Tb 0.333 0.000 0.333
4 Tb 0.334 0.334 0.667
5 Tb 0.334 0.666 0.000
6 Tb 0.666 0.334 0.000
7 Tb 0.666 0.666 0.333
8 Tb 0.667 0.000 0.667
9 Ho 0.000 0.000 0.000

***

[8]
Entry from Alexandria: Tb2Ho13 after structural relaxation (PBE-GGA).

Cell lengths 12.104, 12.104, 12.104 Å; angles 33.39, 33.39, 33.39 degrees
Fractional coordinates of all 15 atoms:
1 Tb 0.206 0.206 0.206
2 Tb 0.794 0.794 0.794
3 Ho 0.000 0.000 0.000
4 Ho 0.043 0.546 0.546
5 Ho 0.210 0.708 0.708
6 Ho 0.292 0.292 0.790
7 Ho 0.292 0.790 0.292
8 Ho 0.454 0.454 0.957
9 Ho 0.454 0.957 0.454
10 Ho 0.546 0.043 0.546
11 Ho 0.546 0.546 0.043
12 Ho 0.708 0.210 0.708
13 Ho 0.708 0.708 0.210
14 Ho 0.790 0.292 0.292
15 Ho 0.957 0.454 0.454

Calculated values
The excess energy over the best structure of this formula in the dataset comes out at 117 meV/atom.

***

[9]
Entry from Alexandria: Tb2Ho5 after structural relaxation (PBE-GGA).

Cell lengths 8.389, 8.389, 9.135 Å; angles 95.64, 95.64, 43.66 degrees
Fractional coordinates of all 14 atoms:
1 Tb 0.095 0.761 0.893
2 Tb 0.239 0.905 0.607
3 Tb 0.761 0.095 0.393
4 Tb 0.905 0.239 0.107
5 Ho 0.048 0.381 0.822
6 Ho 0.191 0.523 0.536
7 Ho 0.334 0.666 0.250
8 Ho 0.381 0.048 0.322
9 Ho 0.477 0.809 0.964
10 Ho 0.523 0.191 0.036
11 Ho 0.619 0.952 0.678
12 Ho 0.666 0.334 0.750
13 Ho 0.809 0.477 0.464
14 Ho 0.952 0.619 0.178

Calculated values
The excess energy over the best structure of this formula in the dataset comes out at 0 meV/atom.

***

[10]
Entry from Alexandria: Tb7Ho after structural relaxation (PBE-GGA).

Cell lengths 7.092, 7.092, 7.092 Å; angles 60.00, 60.00, 60.00 degrees
Fractional coordinates of all 8 atoms:
1 Tb 0.000 0.000 0.000
2 Tb 0.000 0.000 0.500
3 Tb 0.000 0.500 0.000
4 Tb 0.000 0.500 0.500
5 Tb 0.500 0.000 0.000
6 Tb 0.500 0.000 0.500
7 Tb 0.500 0.500 0.000
8 Ho 0.500 0.500 0.500

***

[11]
Entry from Alexandria: TbHo after structural relaxation (PBE-GGA).

Cell lengths 3.599, 3.599, 5.643 Å; angles 90.00, 90.00, 120.00 degrees
Fractional coordinates of all 2 atoms:
1 Tb 0.000 0.000 0.000
2 Ho 0.333 0.667 0.500

Calculated values
The excess energy over the best structure of this formula in the dataset comes out at 2 meV/atom.

***

[12]
Entry from Alexandria: Tb4Ho after structural relaxation (PBE-GGA).

Cell lengths 6.142, 3.547, 14.580 Å; angles 90.00, 97.99, 90.00 degrees
Fractional coordinates of all 10 atoms:
1 Tb 0.100 0.000 0.301
2 Tb 0.200 0.500 0.100
3 Tb 0.300 0.000 0.900
4 Tb 0.400 0.500 0.699
5 Tb 0.600 0.500 0.301
6 Tb 0.700 0.000 0.100
7 Tb 0.800 0.500 0.900
8 Tb 0.900 0.000 0.699
9 Ho 0.000 0.500 0.500
10 Ho 0.500 0.000 0.500

Calculated values
The excess energy over the best structure of this formula in the dataset comes out at 0 meV/atom.

***

The evaluated formation energy from the elements for the records listed, in turn: 0.26 0.02 0.01 0.20 0.02 0.13 0.02 0.17 0.00 0.02 0.01 0.02 eV/atom.
The evaluated total energy for the records listed, in turn: -0.319 -0.336 -0.339 -0.325 -0.338 -0.330 -0.339 -0.325 -0.337 -0.339 -0.338 -0.338 Ry per atom.
The evaluated DOS at the Fermi energy for the records listed, in turn: 28.36 8.71 11.98 18.75 7.99 6.39 12.92 25.38 11.80 10.45 4.09 6.49 states/eV/f.u..